# 1
A plane-wave DFT calculation with GGA-PBE was carried out for a relaxed structure of ZnCu2Pd5.

Unit cell a=7.200 b=7.200 c=7.200 alpha=126.04 beta=126.04 gamma=79.82
Sites, in units of the cell vectors:
Zn 0.250 0.250 0.000
Zn 0.750 0.750 0.000
Cu 0.138 0.638 0.776
Cu 0.362 0.138 0.500
Cu 0.638 0.862 0.500
Cu 0.862 0.362 0.224
Pd 0.000 0.000 0.000
Pd 0.002 0.811 0.500
Pd 0.189 0.689 0.191
Pd 0.311 0.502 0.500
Pd 0.498 0.998 0.809
Pd 0.500 0.500 0.000
Pd 0.502 0.002 0.191
Pd 0.689 0.498 0.500
Pd 0.811 0.311 0.809
Pd 0.998 0.189 0.500

Properties
The space group is I4/mcm. The value obtained for the energy relative to the lowest polymorph listed for this composition is 0.082 eV/atom. The calculation puts the formation energy at -0.134 eV/atom. The value obtained for the mass density is 10.21 g/cm³. Its total magnetization is 0.0 μB/f.u.

=====

# 2
A plane-wave DFT calculation with GGA-PBE was carried out for a relaxed structure of ZnCu4Pd.

Unit cell a=4.189 b=7.309 c=5.100 alpha=90.00 beta=91.03 gamma=90.00
Sites, in units of the cell vectors:
Zn 0.000 0.000 0.000
Zn 0.500 0.500 0.000
Cu 0.003 0.334 0.750
Cu 0.003 0.666 0.750
Cu 0.497 0.166 0.250
Cu 0.497 0.834 0.250
Cu 0.503 0.166 0.750
Cu 0.503 0.834 0.750
Cu 0.997 0.334 0.250
Cu 0.997 0.666 0.250
Pd 0.000 0.000 0.500
Pd 0.500 0.500 0.500

Properties
The space group is C2/m. The value obtained for the energy relative to the lowest polymorph listed for this composition is 0.046 eV/atom. The calculation puts the formation energy at -0.087 eV/atom. The value obtained for the mass density is 9.06 g/cm³. Its total magnetization is 0.0 μB/f.u.

=====

# 3
A plane-wave DFT calculation with GGA-PBE was carried out for a relaxed structure of Zn3Cu2Pd.

Unit cell a=7.231 b=7.231 c=3.967 alpha=105.71 beta=105.71 gamma=114.30
Sites, in units of the cell vectors:
Zn 0.000 0.500 0.000
Zn 0.159 0.324 0.492
Zn 0.324 0.159 0.992
Zn 0.500 0.000 0.500
Zn 0.676 0.841 0.008
Zn 0.841 0.676 0.508
Cu 0.089 0.911 0.250
Cu 0.251 0.749 0.750
Cu 0.749 0.251 0.250
Cu 0.911 0.089 0.750
Pd 0.412 0.588 0.250
Pd 0.588 0.412 0.750

Properties
The space group is C2/c. The value obtained for the energy relative to the lowest polymorph listed for this composition is 0.010 eV/atom. The calculation puts the formation energy at -0.230 eV/atom. The value obtained for the mass density is 8.71 g/cm³. Its total magnetization is 0.0 μB/f.u.

=====

# 4
A plane-wave DFT calculation with GGA-PBE was carried out for a relaxed structure of ZnCuPd3.

Unit cell a=6.946 b=6.946 c=7.869 alpha=117.33 beta=117.33 gamma=77.57
Sites, in units of the cell vectors:
Zn 0.051 0.949 0.750
Zn 0.350 0.650 0.250
Zn 0.650 0.350 0.750
Zn 0.949 0.051 0.250
Cu 0.201 0.584 0.765
Cu 0.416 0.799 0.735
Cu 0.584 0.201 0.265
Cu 0.799 0.416 0.235
Pd 0.035 0.738 0.379
Pd 0.055 0.328 0.044
Pd 0.262 0.965 0.121
Pd 0.306 0.398 0.448
Pd 0.328 0.055 0.544
Pd 0.398 0.306 0.948
Pd 0.602 0.694 0.052
Pd 0.672 0.945 0.456
Pd 0.694 0.602 0.552
Pd 0.738 0.035 0.879
Pd 0.945 0.672 0.956
Pd 0.965 0.262 0.621

Properties
The space group is C2/c. The value obtained for the energy relative to the lowest polymorph listed for this composition is 0.135 eV/atom. The calculation puts the formation energy at -0.178 eV/atom. The value obtained for the mass density is 9.94 g/cm³. Its total magnetization is 0.0 μB/f.u.

=====

# 5
A plane-wave DFT calculation with GGA-PBE was carried out for a relaxed structure of ZnCu2Pd6.

Unit cell a=8.104 b=6.319 c=5.805 alpha=83.78 beta=50.82 gamma=45.41
Sites, in units of the cell vectors:
Zn 0.000 0.000 0.000
Cu 0.330 0.330 0.670
Cu 0.670 0.670 0.330
Pd 0.007 0.325 0.675
Pd 0.325 0.007 0.993
Pd 0.343 0.657 0.343
Pd 0.657 0.343 0.657
Pd 0.675 0.993 0.007
Pd 0.993 0.675 0.325

Properties
The space group is Fmmm. The value obtained for the energy relative to the lowest polymorph listed for this composition is 0.000 eV/atom. The calculation puts the formation energy at -0.206 eV/atom. The value obtained for the mass density is 10.58 g/cm³. Its total magnetization is 0.0 μB/f.u.

=====

# 6
A plane-wave DFT calculation with GGA-PBE was carried out for a relaxed structure of ZnCu2Pd2.

Unit cell a=6.884 b=6.884 c=6.884 alpha=138.16 beta=59.92 gamma=139.13
Sites, in units of the cell vectors:
Zn 0.250 0.250 0.000
Zn 0.750 0.750 0.000
Cu 0.096 0.615 0.711
Cu 0.404 0.115 0.520
Cu 0.596 0.885 0.480
Cu 0.904 0.385 0.289
Pd 0.186 0.145 0.331
Pd 0.314 0.645 0.959
Pd 0.686 0.355 0.041
Pd 0.814 0.855 0.669

Properties
The space group is Ibam. The value obtained for the energy relative to the lowest polymorph listed for this composition is 0.061 eV/atom. The calculation puts the formation energy at -0.103 eV/atom. The value obtained for the mass density is 9.55 g/cm³. Its total magnetization is 0.0 μB/f.u.

=====

# 7
A plane-wave DFT calculation with GGA-PBE was carried out for a relaxed structure of Zn2CuPd8.

Unit cell a=7.124 b=7.124 c=7.124 alpha=146.43 beta=121.48 gamma=69.18
Sites, in units of the cell vectors:
Zn 0.197 0.197 0.000
Zn 0.803 0.803 0.000
Cu 0.500 0.500 0.000
Pd 0.065 0.344 0.721
Pd 0.195 0.000 0.195
Pd 0.354 0.854 0.500
Pd 0.377 0.656 0.721
Pd 0.623 0.344 0.279
Pd 0.646 0.146 0.500
Pd 0.805 0.000 0.805
Pd 0.935 0.656 0.279

Properties
The space group is Immm. The value obtained for the energy relative to the lowest polymorph listed for this composition is 0.000 eV/atom. The calculation puts the formation energy at -0.203 eV/atom. The value obtained for the mass density is 10.34 g/cm³. Its total magnetization is 0.0 μB/f.u.

=====

# 8
A plane-wave DFT calculation with GGA-PBE was carried out for a relaxed structure of Zn2Cu3Pd4.

Unit cell a=3.967 b=4.465 c=8.067 alpha=79.93 beta=89.89 gamma=63.67
Sites, in units of the cell vectors:
Zn 0.173 0.152 0.222
Zn 0.827 0.848 0.778
Cu 0.160 0.180 0.547
Cu 0.500 0.500 0.000
Cu 0.840 0.820 0.453
Pd 0.165 0.171 0.887
Pd 0.489 0.524 0.667
Pd 0.511 0.476 0.333
Pd 0.835 0.829 0.113

Properties
The space group is P-1. The calculation puts the formation energy at -0.294 eV/atom. The value obtained for the mass density is 9.88 g/cm³. Its total magnetization is 0.0 μB/f.u.

=====

# 9
A plane-wave DFT calculation with GGA-PBE was carried out for a relaxed structure of Zn3CuPd6.

Unit cell a=7.530 b=4.346 c=9.270 alpha=90.00 beta=105.55 gamma=90.00
Sites, in units of the cell vectors:
Zn 0.046 0.250 0.397
Zn 0.147 0.750 0.205
Zn 0.265 0.250 0.988
Zn 0.735 0.750 0.012
Zn 0.853 0.250 0.795
Zn 0.954 0.750 0.603
Cu 0.449 0.250 0.599
Cu 0.551 0.750 0.401
Pd 0.039 0.750 0.906
Pd 0.141 0.250 0.691
Pd 0.250 0.750 0.496
Pd 0.342 0.250 0.301
Pd 0.350 0.750 0.801
Pd 0.431 0.750 0.108
Pd 0.569 0.250 0.892
Pd 0.650 0.250 0.199
Pd 0.658 0.750 0.699
Pd 0.750 0.250 0.504
Pd 0.859 0.750 0.309
Pd 0.961 0.250 0.094

Properties
The space group is P2_1/m. The value obtained for the energy relative to the lowest polymorph listed for this composition is 0.000 eV/atom. The calculation puts the formation energy at -0.395 eV/atom. The value obtained for the mass density is 10.21 g/cm³. Its total magnetization is 0.0 μB/f.u.

=====

# 10
A plane-wave DFT calculation with GGA-PBE was carried out for a relaxed structure of Zn4CuPd.

Unit cell a=8.760 b=3.664 c=5.584 alpha=90.00 beta=109.28 gamma=90.00
Sites, in units of the cell vectors:
Zn 0.165 0.000 0.329
Zn 0.165 0.000 0.837
Zn 0.335 0.500 0.163
Zn 0.335 0.500 0.671
Zn 0.665 0.500 0.329
Zn 0.665 0.500 0.837
Zn 0.835 0.000 0.163
Zn 0.835 0.000 0.671
Cu 0.000 0.500 0.000
Cu 0.500 0.000 0.000
Pd 0.000 0.500 0.500
Pd 0.500 0.000 0.500

Properties
The space group is C2/m. The value obtained for the energy relative to the lowest polymorph listed for this composition is 0.000 eV/atom. The calculation puts the formation energy at -0.230 eV/atom. The value obtained for the mass density is 8.47 g/cm³. Its total magnetization is 0.0 μB/f.u.

=====

Repeat the seventh record exactly.
A plane-wave DFT calculation with GGA-PBE was carried out for a relaxed structure of Zn2CuPd8.

Unit cell a=7.124 b=7.124 c=7.124 alpha=146.43 beta=121.48 gamma=69.18
Sites, in units of the cell vectors:
Zn 0.197 0.197 0.000
Zn 0.803 0.803 0.000
Cu 0.500 0.500 0.000
Pd 0.065 0.344 0.721
Pd 0.195 0.000 0.195
Pd 0.354 0.854 0.500
Pd 0.377 0.656 0.721
Pd 0.623 0.344 0.279
Pd 0.646 0.146 0.500
Pd 0.805 0.000 0.805
Pd 0.935 0.656 0.279

Properties
The space group is Immm. The value obtained for the energy relative to the lowest polymorph listed for this composition is 0.000 eV/atom. The calculation puts the formation energy at -0.203 eV/atom. The value obtained for the mass density is 10.34 g/cm³. Its total magnetization is 0.0 μB/f.u.